[1]
Material: ZnTeCl2
Method: DFT, meta-GGA SCAN
State: PBEsol geometry Values from VASP.

```
&SYSTEM
  ibrav = 0, nat = 4, ntyp = 3
/
ATOMIC_SPECIES
Te 127.60 Te.upf
Zn 65.41 Zn.upf
Cl 35.45 Cl.upf
CELL_PARAMETERS angstrom
3.392 0.000 0.000
0.000 5.380 0.000
-1.696 -2.690 6.586
ATOMIC_POSITIONS crystal
Te 0.633 0.633 0.265
Zn 0.292 0.792 0.584
Cl 0.911 0.911 0.822
Cl 0.665 0.165 0.329
```

Results
The total energy comes out at -68.82 eV/cell. Its symmetry is Imm2 (44). The formation energy (no corrections) is -0.52 eV per atom. The calculation puts the energy above the lowest structure with this stoichiometry at 0.00 eV/f.u.



[2]
Material: TcTeRh
Method: DFT, meta-GGA SCAN
State: PBEsol geometry Values from VASP.

```
&SYSTEM
  ibrav = 0, nat = 3, ntyp = 3
/
ATOMIC_SPECIES
Te 127.60 Te.upf
Rh 102.91 Rh.upf
Tc 98.00 Tc.upf
CELL_PARAMETERS angstrom
3.049 0.000 0.000
-1.524 2.640 0.000
0.000 0.000 6.166
ATOMIC_POSITIONS crystal
Te 0.333 0.667 0.338
Rh 0.000 0.000 0.992
Tc 0.667 0.333 0.670
```

Results
The total energy comes out at -105.00 eV/cell. Its symmetry is P3m1 (156). The formation energy (no corrections) is 0.36 eV per atom. The calculation puts the energy above the lowest structure with this stoichiometry at 0.76 eV/f.u.



[3]
Material: ScFe2P
Method: DFT, meta-GGA SCAN
State: PBEsol geometry Values from VASP.

```
&SYSTEM
  ibrav = 0, nat = 4, ntyp = 3
/
ATOMIC_SPECIES
Fe 55.84 Fe.upf
P 30.97 P.upf
Sc 44.96 Sc.upf
CELL_PARAMETERS angstrom
2.992 0.000 0.043
0.000 3.967 0.000
-0.331 0.000 4.587
ATOMIC_POSITIONS crystal
Fe 0.402 0.000 0.243
Fe 0.598 0.000 0.757
P 0.500 0.500 0.000
Sc 0.000 0.500 0.500
```

Results
The total energy comes out at -61.85 eV/cell. Its symmetry is P2/m (10). Its energy of formation from the pure elements is -239 meV per atom.